VASP calculation (PBE) on an optimized crystal structure of Ac2Tl3Ag2.

```
Ac2Tl3Ag2
1.0
5.482 -2.417 0.000
5.482 2.417 0.000
-3.248 0.000 7.770
Ac Tl Ag
2 3 2
direct
0.132 0.132 0.287 Ac
0.868 0.868 0.713 Ac
0.371 0.371 0.060 Tl
0.500 0.500 0.500 Tl
0.629 0.629 0.940 Tl
0.165 0.165 0.705 Ag
0.835 0.835 0.295 Ag
```

Properties
**M_tot**: 0.0000 μB per atom
**DFT formation energy**: -0.240 eV per atom
**Space-group type**: C2/m